The following is a DFT calculation (PBE) of crystalline TaTiSbO6 at its relaxed geometry.

Results
DFT total energy: -152.0 eV for the cell shown
spin magnetization: 0.0 μB per formula unit
raw formation energy: -2489 meV/atom
symmetry: No. 2

a b c (Å): 4.8796 5.5962 8.7326
angles (deg): 92.22 106.30 90.24
Atoms (fractional coordinates):
Ta  0.5863  0.8275  0.6509
Ta  0.4137  0.1725  0.3491
Ti  0.9379  0.6711  0.3471
Ti  0.0621  0.3289  0.6530
Sb  0.2989  0.7425  0.9983
Sb  0.7011  0.2575  0.0017
O  0.1013  0.9143  0.2758
O  0.8348  0.5796  0.7267
O  0.8987  0.0857  0.7242
O  0.1652  0.4204  0.2733
O  0.6638  0.8511  0.4383
O  0.2270  0.6513  0.5590
O  0.3362  0.1489  0.5617
O  0.7730  0.3487  0.4410
O  0.6497  0.5832  0.1380
O  0.5136  0.9144  0.8629
O  0.3503  0.4168  0.8620
O  0.4864  0.0856  0.1371